## Zr6Sc2N (PBE)

Data for a relaxed structure of Zr6Sc2N.

Unit cell a=6.457 b=6.457 c=6.457 alpha=60.00 beta=60.00 gamma=60.00
Element x y z (fractional)
Zr1 0.248 0.248 0.752
Zr2 0.248 0.752 0.248
Zr3 0.248 0.752 0.752
Zr4 0.752 0.248 0.248
Zr5 0.752 0.248 0.752
Zr6 0.752 0.752 0.248
Sc1 0.250 0.250 0.250
Sc2 0.750 0.750 0.750
N1 0.500 0.500 0.500

Computed properties:
For the formation energy from raw total energies, the calculation gives -0.35 eV per atom. The calculation puts the density of states at the Fermi level at 1.11 states/eV/atom.